{"formula": "TlSnBrCl2", "functional": "PBE", "state": "relaxed", "m_tot_mub_per_cell": 0.00, "de_polymorph_mev_per_atom": 0, "volume_a3_per_fu": 173.09, "raw_formation_energy_ev_per_fu": -4.680, "lattice": [[-0.3456, -3.4597, 6.7863], [-0.5069, -6.7678, -3.4760], [6.3610, 4.6384, -1.5952]], "species": ["Tl", "Tl", "Sn", "Sn", "Br", "Br", "Cl", "Cl", "Cl", "Cl"], "fractional_positions": [[0.7755, 0.2755, 0.5511], [0.2755, 0.7755, 0.5511], [0.9969, 0.9969, 0.9937], [0.4969, 0.4969, 0.9937], [0.7534, 0.7534, 0.5067], [0.2534, 0.2534, 0.5067], [0.3134, 0.8134, 0.9745], [0.8134, 0.6611, 0.9745], [0.6611, 0.1611, 0.9745], [0.1611, 0.3134, 0.9745]]}



{"formula": "TlSnBrCl2", "functional": "PBE", "state": "relaxed", "dos_ef_per_ev_fu": 0.00, "m_tot_mub_per_cell": 0.00, "de_polymorph_mev_per_atom": 43, "volume_a3_per_fu": 180.40, "raw_formation_energy_ev_per_fu": -4.466, "lattice": [[5.5361, 0.0000, 0.0000], [0.0000, 5.5361, 0.0000], [0.0000, 0.0000, 5.8860]], "species": ["Tl", "Sn", "Br", "Cl", "Cl"], "fractional_positions": [[0.5000, 0.5000, 0.5000], [0.0000, 0.0000, 0.0000], [0.0000, 0.0000, 0.5000], [0.0000, 0.5000, 0.0000], [0.5000, 0.0000, 0.0000]]}